The following is a DFT calculation (PBE+U) of a relaxed structure of Li2MnCr3O8.

Computed properties:
Energy in eV/atom: -7.017
Excess energy over the best structure of this formula in the dataset in kJ/mol of atoms: 8.7

abc: 5.983 5.983 5.983
angles: 59.22 59.22 59.22
Atoms (fractional coordinates):
O 0.746 0.746 0.295
O 0.741 0.741 0.741
O 0.746 0.295 0.746
O 0.261 0.261 0.261
O 0.708 0.248 0.248
O 0.248 0.708 0.248
O 0.295 0.746 0.746
O 0.248 0.248 0.708
Mn 0.880 0.880 0.880
Li 0.500 0.500 0.500
Li 0.123 0.123 0.123
Cr 0.006 0.499 0.499
Cr 0.499 0.499 0.006
Cr 0.499 0.006 0.499